# 1
A plane-wave DFT calculation with PBE was carried out for MnHg2Te after structural relaxation.

Unit cell a=4.076 b=4.076 c=6.543 alpha=90.00 beta=90.00 gamma=90.00
Fractional positions:
Mn 0.000 0.000 0.000
Hg 0.000 0.500 0.500
Hg 0.500 0.000 0.500
Te 0.500 0.500 0.000

Mass density, Mg/m³: 8.9
ΔE_f (raw), meV per atom: 167

# 2
A plane-wave DFT calculation with PBE was carried out for DyPaIr after structural relaxation.

Unit cell a=5.992 b=5.992 c=5.992 alpha=145.21 beta=145.21 gamma=50.02
Fractional positions:
Dy 0.000 0.000 0.000
Pa 0.297 0.297 0.000
Ir 0.682 0.682 0.000

Mass density, Mg/m³: 14.0
Relative energy among the computed polymorphs, meV per atom: 0
Formation enthalpy at 0 K, meV per atom: -509

# 3
A plane-wave DFT calculation with PBE was carried out for CuTcW2 after structural relaxation.

Unit cell a=3.241 b=3.241 c=5.634 alpha=90.00 beta=90.00 gamma=90.00
Fractional positions:
Cu 0.000 0.000 0.000
Tc 0.000 0.000 0.500
W 0.500 0.500 0.234
W 0.500 0.500 0.766

Mass density, Mg/m³: 14.8
Relative energy among the computed polymorphs, meV per atom: 109
Formation enthalpy at 0 K, meV per atom: 305